Computed, not measured: crystalline Y2ZrHgC at its relaxed geometry at the GGA-PBE level of DFT.

Properties
For the calculated volume, the calculation gives 110.1 Å³/f.u. The energy of formation is -399 meV/atom. Its electronic total energy is -6.600 eV per atom. Its space group is P4/mmm, No. 123.

Cell: 4.8945 4.8945 4.5969 Å, 90.00 90.00 90.00°
Element x y z (fractional)
Y 0.0000 0.5000 0.0000
Y 0.5000 0.0000 0.0000
Zr 0.0000 0.0000 0.5000
Hg 0.5000 0.5000 0.5000
C 0.0000 0.0000 0.0000